The following is a PBE-GGA calculation of a relaxed structure of Tb2SnIr, from Alexandria via LeMat-Bulk.

Lattice parameters (Å, degrees): 3.8648 3.8648 8.6356 77.07 77.07 60.00
With the nearest neighbours (Å) after each atom.
Element x y z (fractional)
Ir  0.0000  0.0000  0.0000  6 Tb 2.78
Sn  0.5000  0.5000  0.5000  6 Tb 3.36
Tb  0.7330  0.7330  0.8009  3 Ir 2.78
Tb  0.2670  0.2670  0.1991  3 Ir 2.78

density of states at the Fermi level: 0.66 states/eV/atom
total energy: -24.461 eV per cell
energy above the lowest structure with this stoichiometry: 209 meV/atom


The following is a PBE-GGA calculation of a relaxed structure of Tb2SnIr, from Alexandria via LeMat-Bulk.

Lattice parameters (Å, degrees): 3.4681 3.4681 7.9639 90.00 90.00 90.00
With the nearest neighbours (Å) after each atom.
Element x y z (fractional)
Tb  0.0000  0.0000  0.7890  4 Ir 2.97
Sn  0.5000  0.5000  0.5000  8 Tb 3.36, 4 Sn 3.47
Tb  0.0000  0.0000  0.2110  4 Ir 2.97
Ir  0.5000  0.5000  0.0000  8 Tb 2.97

density of states at the Fermi level: 0.78 states/eV/atom
total energy: -25.097 eV per cell
energy above the lowest structure with this stoichiometry: 50 meV/atom


The following is a PBE-GGA calculation of a relaxed structure of TbSnIr4, from Alexandria via LeMat-Bulk.

Lattice parameters (Å, degrees): 5.3426 5.3426 5.3426 60.00 60.00 60.00
With the nearest neighbours (Å) after each atom.
Element x y z (fractional)
Sn  0.0000  0.0000  0.0000  12 Ir 3.13, 4 Tb 3.27
Ir  0.6254  0.6254  0.6254  6 Ir 2.66-2.68
Tb  0.2500  0.2500  0.2500  12 Ir 3.13, 4 Sn 3.27
Ir  0.6254  0.1237  0.6254  6 Ir 2.66-2.68
Ir  0.1237  0.6254  0.6254  6 Ir 2.66-2.68
Ir  0.6254  0.6254  0.1237  6 Ir 2.66-2.68

density of states at the Fermi level: 1.64 states/eV/atom
total energy: -46.142 eV per cell


The following is a PBE-GGA calculation of a relaxed structure of TbSn12Ir4, from Alexandria via LeMat-Bulk.

Lattice parameters (Å, degrees): 8.2033 8.2033 8.2033 109.47 109.47 109.47
With the nearest neighbours (Å) after each atom.
Element x y z (fractional)
Ir  0.5000  0.0000  0.0000  6 Sn 2.65
Sn  0.3366  0.1776  0.8409  2 Ir 2.65
Sn  0.8409  0.3366  0.1776  2 Ir 2.65
Tb  0.0000  0.0000  0.0000  12 Sn 3.53
Sn  0.3366  0.4957  0.1591  2 Ir 2.65
Ir  0.5000  0.5000  0.5000  6 Sn 2.65
Sn  0.8224  0.1591  0.6634  2 Ir 2.65
Ir  0.0000  0.0000  0.5000  6 Sn 2.65
Sn  0.5043  0.8409  0.6634  2 Ir 2.65
Ir  0.0000  0.5000  0.0000  6 Sn 2.65
Sn  0.4957  0.1591  0.3366  2 Ir 2.65
Sn  0.1591  0.6634  0.8224  2 Ir 2.65
Sn  0.6634  0.8224  0.1591  2 Ir 2.65
Sn  0.8409  0.6634  0.5043  2 Ir 2.65
Sn  0.6634  0.5043  0.8409  2 Ir 2.65
Sn  0.1591  0.3366  0.4957  2 Ir 2.65
Sn  0.1776  0.8409  0.3366  2 Ir 2.65

density of states at the Fermi level: 0.74 states/eV/atom
total energy: -91.255 eV per cell


The following is a PBE-GGA calculation of a relaxed structure of TcSnIr2, from Alexandria via LeMat-Bulk.

Lattice parameters (Å, degrees): 5.7221 5.7221 7.1130 66.28 66.28 90.00
With the nearest neighbours (Å) after each atom.
Element x y z (fractional)
Tc  0.2500  0.7500  0.5000  4 Ir 2.39
Sn  0.0000  0.0000  0.0000  4 Ir 2.62
Tc  0.5000  0.5000  0.0000  4 Ir 2.39
Ir  0.8750  0.8401  0.7500  2 Tc 2.39, 2 Sn 2.62
Sn  0.7500  0.2500  0.5000  4 Ir 2.62
Ir  0.1599  0.6250  0.2500  2 Tc 2.39, 2 Sn 2.62
Ir  0.3750  0.4099  0.7500  2 Tc 2.39, 2 Sn 2.62
Ir  0.5901  0.1250  0.2500  2 Tc 2.39, 2 Sn 2.62

density of states at the Fermi level: 0.80 states/eV/atom
total energy: -58.651 eV per cell


The following is a PBE-GGA calculation of a relaxed structure of Tc2SnIr, from Alexandria via LeMat-Bulk.

Lattice parameters (Å, degrees): 6.0021 6.0021 6.8251 63.91 63.91 90.00
With the nearest neighbours (Å) after each atom.
Element x y z (fractional)
Ir  0.7500  0.2500  0.5000  4 Tc 2.38
Ir  0.0000  0.0000  0.0000  4 Tc 2.38
Sn  0.5000  0.5000  0.0000  4 Tc 2.65
Tc  0.3750  0.3378  0.7500  2 Ir 2.38, 2 Sn 2.65
Sn  0.2500  0.7500  0.5000  4 Tc 2.65
Tc  0.8750  0.9122  0.7500  2 Ir 2.38, 2 Sn 2.65
Tc  0.0878  0.6250  0.2500  2 Ir 2.38, 2 Sn 2.65
Tc  0.6622  0.1250  0.2500  2 Ir 2.38, 2 Sn 2.65

density of states at the Fermi level: 1.17 states/eV/atom
total energy: -58.486 eV per cell


The following is a PBE-GGA calculation of a relaxed structure of Tc3SnIr, from Alexandria via LeMat-Bulk.

Lattice parameters (Å, degrees): 4.7343 4.7343 4.7343 90.00 90.00 90.00
With the nearest neighbours (Å) after each atom.
Element x y z (fractional)
Ir  0.0000  0.0000  0.0000  6 Tc 2.37
Tc  0.5000  0.0000  0.0000  2 Ir 2.37
Sn  0.5000  0.5000  0.5000  12 Tc 3.35
Tc  0.0000  0.0000  0.5000  2 Ir 2.37
Tc  0.0000  0.5000  0.0000  2 Ir 2.37

density of states at the Fermi level: 1.42 states/eV/atom
total energy: -36.414 eV per cell
energy above the lowest structure with this stoichiometry: 0 meV/atom


The following is a PBE-GGA calculation of a relaxed structure of Ti5TcSn2Ir2, from Alexandria via LeMat-Bulk.

Lattice parameters (Å, degrees): 3.0813 10.7857 10.7857 90.00 90.00 90.00
With the nearest neighbours (Å) after each atom.
Element x y z (fractional)
Sn  0.0000  0.8263  0.6737  1 Ir 2.93, 6 Ti 3.07-3.25, 2 Sn 3.08
Sn  0.0000  0.3263  0.8263  1 Ir 2.93, 6 Ti 3.07-3.25, 2 Sn 3.08
Sn  0.0000  0.1737  0.3263  1 Ir 2.93, 6 Ti 3.07-3.25, 2 Sn 3.08
Ti  0.5000  0.6865  0.4385  2 Ir 2.59, 2 Tc 2.62
Ti  0.5000  0.0615  0.8135  2 Ir 2.59, 2 Tc 2.62
Tc  0.0000  0.5000  0.5000  8 Ti 2.62
Ti  0.5000  0.3135  0.5615  2 Ir 2.59, 2 Tc 2.62
Ir  0.0000  0.8656  0.3656  6 Ti 2.56-2.59
Ti  0.5000  0.0000  0.5000  4 Ir 2.56
Ti  0.5000  0.5615  0.6865  2 Ir 2.59, 2 Tc 2.62
Ti  0.5000  0.8135  0.9385  2 Ir 2.59, 2 Tc 2.62
Ir  0.0000  0.6344  0.8656  6 Ti 2.56-2.59
Ti  0.5000  0.9385  0.1865  2 Ir 2.59, 2 Tc 2.62
Ti  0.5000  0.5000  0.0000  4 Ir 2.56
Ti  0.5000  0.1865  0.0615  2 Ir 2.59, 2 Tc 2.62
Ir  0.0000  0.3656  0.1344  6 Ti 2.56-2.59
Ti  0.5000  0.4385  0.3135  2 Ir 2.59, 2 Tc 2.62
Tc  0.0000  0.0000  0.0000  8 Ti 2.62
Sn  0.0000  0.6737  0.1737  1 Ir 2.93, 6 Ti 3.07-3.25, 2 Sn 3.08
Ir  0.0000  0.1344  0.6344  6 Ti 2.56-2.59

density of states at the Fermi level: 0.61 states/eV/atom
total energy: -159.046 eV per cell


The following is a PBE-GGA calculation of a relaxed structure of TiTcSnIr, from Alexandria via LeMat-Bulk.

Lattice parameters (Å, degrees): 4.4843 4.4843 4.4843 60.00 60.00 60.00
With the nearest neighbours (Å) after each atom.
Element x y z (fractional)
Sn  0.7500  0.7500  0.7500  4 Tc 2.75, 4 Ir 2.75
Ti  0.2500  0.2500  0.2500  4 Tc 2.75, 4 Ir 2.75
Tc  0.0000  0.0000  0.0000  4 Sn 2.75, 4 Ti 2.75
Ir  0.5000  0.5000  0.5000  4 Ti 2.75, 4 Sn 2.75

density of states at the Fermi level: 0.06 states/eV/atom
total energy: -33.145 eV per cell


The following is a PBE-GGA calculation of a relaxed structure of VTcSnIr, from Alexandria via LeMat-Bulk.

Lattice parameters (Å, degrees): 4.4515 4.4515 4.4515 60.00 60.00 60.00
With the nearest neighbours (Å) after each atom.
Element x y z (fractional)
Ir  0.5000  0.5000  0.5000  4 Sn 2.73, 4 V 2.73
V  0.7500  0.7500  0.7500  4 Tc 2.73, 4 Ir 2.73
Tc  0.0000  0.0000  0.0000  4 V 2.73, 4 Sn 2.73
Sn  0.2500  0.2500  0.2500  4 Tc 2.73, 4 Ir 2.73

density of states at the Fermi level: 0.85 states/eV/atom
total energy: -32.978 eV per cell


The following is a PBE-GGA calculation of a relaxed structure of V2TcSnIr, from Alexandria via LeMat-Bulk.

Lattice parameters (Å, degrees): 4.5732 4.8082 4.5732 90.00 90.00 90.00
With the nearest neighbours (Å) after each atom.
Element x y z (fractional)
Sn  0.5000  0.5000  0.5000  4 Ir 3.23, 8 V 3.32
V  0.5000  0.0000  0.0000  2 Tc 2.29
V  0.0000  0.0000  0.5000  2 Tc 2.29
Tc  0.0000  0.0000  0.0000  4 V 2.29, 2 Ir 2.40
Ir  0.0000  0.5000  0.0000  2 Tc 2.40

density of states at the Fermi level: 1.12 states/eV/atom
total energy: -36.638 eV per cell


The following is a PBE-GGA calculation of a relaxed structure of Sn3Te3Ir2, from Alexandria via LeMat-Bulk.

Lattice parameters (Å, degrees): 9.4635 9.4635 9.4635 89.93 89.93 89.93
With the nearest neighbours (Å) after each atom.
Element x y z (fractional)
Te  0.0001  0.6544  0.1505  2 Ir 2.68-2.70, 1 Sn 2.94
Ir  0.2480  0.2484  0.7475  3 Sn 2.62-2.64, 3 Te 2.68-2.70
Sn  0.4998  0.8252  0.3396  2 Ir 2.62-2.64
Te  0.5021  0.8458  0.6500  2 Ir 2.68-2.70, 1 Sn 2.94
Te  0.9999  0.3456  0.8495  2 Ir 2.68-2.70, 1 Sn 2.94
Te  0.4979  0.1542  0.3500  2 Ir 2.68-2.70, 1 Sn 2.94
Te  0.8495  0.9999  0.3456  2 Ir 2.68-2.70, 1 Sn 2.94
Sn  0.1748  0.6604  0.5002  2 Ir 2.62-2.64
Sn  0.9985  0.3250  0.1599  2 Ir 2.62-2.64
Te  0.1505  0.0001  0.6544  2 Ir 2.68-2.70, 1 Sn 2.94
Ir  0.7516  0.2525  0.7520  3 Sn 2.62-2.64, 3 Te 2.68-2.70
Te  0.3500  0.4979  0.1542  2 Ir 2.68-2.70, 1 Sn 2.94
Sn  0.8401  0.0015  0.6750  2 Ir 2.62-2.64
Te  0.8458  0.6500  0.5021  2 Ir 2.68-2.70, 1 Sn 2.94
Te  0.1542  0.3500  0.4979  2 Ir 2.68-2.70, 1 Sn 2.94
Sn  0.3396  0.4998  0.8252  2 Ir 2.62-2.64
Ir  0.7520  0.7516  0.2525  3 Sn 2.62-2.64, 3 Te 2.68-2.70
Sn  0.1599  0.9985  0.3250  2 Ir 2.62-2.64
Sn  0.3250  0.1599  0.9985  2 Ir 2.62-2.64
Ir  0.7490  0.7490  0.7490  3 Sn 2.64, 3 Te 2.68
Ir  0.2484  0.7475  0.2480  3 Sn 2.62-2.64, 3 Te 2.68-2.70
Sn  0.8252  0.3396  0.4998  2 Ir 2.62-2.64
Ir  0.2510  0.2510  0.2510  3 Sn 2.64, 3 Te 2.68
Te  0.6544  0.1505  0.0001  2 Ir 2.68-2.70, 1 Sn 2.94
Sn  0.5002  0.1748  0.6604  2 Ir 2.62-2.64
Te  0.6500  0.5021  0.8458  2 Ir 2.68-2.70, 1 Sn 2.94
Ir  0.7475  0.2480  0.2484  3 Sn 2.62-2.64, 3 Te 2.68-2.70
Sn  0.0015  0.6750  0.8401  2 Ir 2.62-2.64
Ir  0.2525  0.7520  0.7516  3 Sn 2.62-2.64, 3 Te 2.68-2.70
Sn  0.6604  0.5002  0.1748  2 Ir 2.62-2.64
Sn  0.6750  0.8401  0.0015  2 Ir 2.62-2.64
Te  0.3456  0.8495  0.9999  2 Ir 2.68-2.70, 1 Sn 2.94

density of states at the Fermi level: 0.00 states/eV/atom
total energy: -169.568 eV per cell
uncorrected formation energy: -0.405 eV per atom